Below is a relaxed structure of NbGa2BiW, with properties calculated at the GGA-PBE level.

Calculated values
- V (Å³ per atom) = 25.65
- formation enthalpy at 0 K (eV/atom) = 1.158

a b c (Å): 4.9077 5.3256 4.9077
angles (deg): 90.00 90.00 90.00
Fractional coordinates of all 5 atoms:
Ga  0.0000  0.0000  0.5000
Nb  0.5000  0.5000  0.5000
W  0.0000  0.0000  0.0000
Bi  0.0000  0.5000  0.0000
Ga  0.5000  0.0000  0.0000

Below is a relaxed structure of Li6HgBi2, with properties calculated at the GGA-PBE level.

Calculated values
- ΔE to the lowest computed polymorph (meV per atom) = 25.4
- V (Å³ per atom) = 25.21
- formation enthalpy at 0 K (eV/atom) = -0.332

a b c (Å): 4.8366 6.3992 8.3075
angles (deg): 112.65 105.67 90.00
Fractional coordinates of all 9 atoms:
Li  0.1906  0.9177  0.3699
Li  0.8094  0.5478  0.6301
Hg  0.0000  0.0000  0.0000
Bi  0.6683  0.6600  0.3200
Li  0.1906  0.4522  0.3699
Bi  0.3317  0.3400  0.6800
Li  0.5000  0.2734  0.0000
Li  0.8094  0.0823  0.6301
Li  0.5000  0.7266  0.0000

Below is a relaxed structure of Ge3MoAu, with properties calculated at the GGA-PBE level.

Calculated values
- ΔE to the lowest computed polymorph (meV per atom) = 0.0
- V (Å³ per atom) = 23.31
- formation enthalpy at 0 K (eV/atom) = 0.485

a b c (Å): 4.8848 4.8848 4.8848
angles (deg): 90.00 90.00 90.00
Fractional coordinates of all 5 atoms:
Ge  0.5000  0.0000  0.0000
Ge  0.0000  0.0000  0.5000
Ge  0.0000  0.5000  0.0000
Mo  0.0000  0.0000  0.0000
Au  0.5000  0.5000  0.5000

Below is a relaxed structure of SmCdSn, with properties calculated at the GGA-PBE level.

Calculated values
- V (Å³ per atom) = 26.62
- formation enthalpy at 0 K (eV/atom) = -0.499

a b c (Å): 4.5723 7.7608 13.5310
angles (deg): 86.46 90.00 90.00
Fractional coordinates of all 18 atoms:
Sm  0.7500  0.5303  0.3794
Sm  0.2500  0.3423  0.9180
Cd  0.2500  0.9989  0.0885
Sn  0.7500  0.2555  0.7508
Cd  0.7500  0.0011  0.9115
Sm  0.7500  0.6577  0.0820
Sn  0.2500  0.7567  0.9129
Sn  0.2500  0.7445  0.2492
Cd  0.2500  0.3815  0.1990
Cd  0.7500  0.1610  0.5469
Sn  0.7500  0.7582  0.5812
Sm  0.2500  0.4697  0.6206
Cd  0.2500  0.8390  0.4531
Sn  0.2500  0.2418  0.4188
Sm  0.2500  0.9650  0.7009
Sm  0.7500  0.0350  0.2991
Cd  0.7500  0.6185  0.8010
Sn  0.7500  0.2433  0.0871

Below is a relaxed structure of ScSb2Mo, with properties calculated at the GGA-PBE level.

Calculated values
- ΔE to the lowest computed polymorph (meV per atom) = 210.2
- V (Å³ per atom) = 23.93
- energy relative to the elements, uncorrected (eV per atom) = -0.001

a b c (Å): 3.0971 3.0971 10.3404
angles (deg): 90.00 90.00 105.19
Fractional coordinates of all 4 atoms:
Sb  0.0000  0.0000  0.9332
Sc  0.0000  0.0000  0.5300
Mo  0.5000  0.5000  0.7369
Sb  0.5000  0.5000  0.2999

Below is a relaxed structure of SmHo7Er5, with properties calculated at the GGA-PBE level.

Calculated values
- V (Å³ per atom) = 32.35
- formation enthalpy at 0 K (eV/atom) = 0.255

a b c (Å): 6.6576 8.6193 8.6193
angles (deg): 79.45 67.28 67.28
Fractional coordinates of all 13 atoms:
Er  0.4648  0.5398  0.9969
Ho  0.4817  0.8473  0.1892
Sm  0.0345  0.9655  0.9655
Ho  0.7294  0.2706  0.2706
Er  0.4648  0.9969  0.5398
Er  0.9985  0.9969  0.5398
Ho  0.9803  0.6912  0.3481
Ho  0.4229  0.5771  0.5771
Er  0.7327  0.7673  0.7673
Er  0.9985  0.5398  0.9969
Ho  0.2296  0.2704  0.2704
Ho  0.4817  0.1892  0.8473
Ho  0.9803  0.3481  0.6912

Below is a relaxed structure of Rb2Na2Tl5In, with properties calculated at the GGA-PBE level.

Calculated values
- V (Å³ per atom) = 34.36
- formation enthalpy at 0 K (eV/atom) = -0.049

a b c (Å): 4.3971 12.5006 12.5006
angles (deg): 90.00 90.00 90.00
Fractional coordinates of all 20 atoms:
Tl  0.5000  0.9617  0.1847
Tl  0.5000  0.3153  0.5383
Na  0.0000  0.8728  0.3728
Tl  0.5000  0.5000  0.0000
In  0.0000  0.5000  0.5000
In  0.0000  0.0000  0.0000
Rb  0.0000  0.6809  0.1809
Na  0.0000  0.6272  0.8728
Na  0.0000  0.3728  0.1272
Tl  0.5000  0.6847  0.4617
Rb  0.0000  0.1809  0.3191
Tl  0.5000  0.0000  0.5000
Tl  0.5000  0.0383  0.8153
Rb  0.0000  0.8191  0.6809
Na  0.0000  0.1272  0.6272
Rb  0.0000  0.3191  0.8191
Tl  0.5000  0.4617  0.3153
Tl  0.5000  0.5383  0.6847
Tl  0.5000  0.8153  0.9617
Tl  0.5000  0.1847  0.0383

Below is a relaxed structure of Tb2PrDy2, with properties calculated at the GGA-PBE level.

Calculated values
- ΔE to the lowest computed polymorph (meV per atom) = 0.0
- V (Å³ per atom) = 32.55
- formation enthalpy at 0 K (eV/atom) = 0.020

a b c (Å): 3.5834 3.5834 12.9271
angles (deg): 97.97 97.97 90.00
Fractional coordinates of all 5 atoms:
Tb  0.7994  0.7994  0.5988
Dy  0.3978  0.3978  0.7956
Pr  0.0000  0.0000  0.0000
Dy  0.6022  0.6022  0.2044
Tb  0.2006  0.2006  0.4012

Below is a relaxed structure of HoNiP2, with properties calculated at the GGA-PBE level.

Calculated values
- V (Å³ per atom) = 16.41
- formation enthalpy at 0 K (eV/atom) = -0.961

a b c (Å): 3.7391 3.7391 9.7550
angles (deg): 101.11 101.11 89.67
Fractional coordinates of all 8 atoms:
Ho  0.8900  0.8900  0.7641
Ho  0.1260  0.1260  0.2359
P  0.5110  0.9448  0.0000
Ni  0.2567  0.7567  0.5000
P  0.6883  0.6883  0.3622
P  0.3261  0.3261  0.6378
P  0.9448  0.5110  0.0000
Ni  0.7567  0.2567  0.5000

Below is a relaxed structure of HgRh2, with properties calculated at the GGA-PBE level.

Calculated values
- V (Å³ per atom) = 16.61
- formation enthalpy at 0 K (eV/atom) = 0.277

a b c (Å): 4.4883 4.4883 2.8564
angles (deg): 90.00 90.00 120.00
Fractional coordinates of all 3 atoms:
Hg  0.0000  0.0000  0.5000
Rh  0.3333  0.6667  0.0000
Rh  0.6667  0.3333  0.0000

Below is a relaxed structure of In2CoMo, with properties calculated at the GGA-PBE level.

Calculated values
- ΔE to the lowest computed polymorph (meV per atom) = 193.4
- V (Å³ per atom) = 17.37
- formation enthalpy at 0 K (eV/atom) = 0.411

a b c (Å): 4.9458 4.9458 2.9516
angles (deg): 90.00 90.00 105.77
Fractional coordinates of all 4 atoms:
Co  0.0000  0.5000  0.5000
In  0.5000  0.5000  0.0000
Mo  0.5000  0.0000  0.5000
In  0.0000  0.0000  0.0000

Below is a relaxed structure of BeCuCl2, with properties calculated at the GGA-PBE level.

Calculated values
- ΔE to the lowest computed polymorph (meV per atom) = 273.5
- V (Å³ per atom) = 20.99
- energy relative to the elements, uncorrected (eV per atom) = -0.187

a b c (Å): 6.1594 6.1594 6.2104
angles (deg): 60.27 60.27 90.00
Fractional coordinates of all 8 atoms:
Cu  0.7500  0.2500  0.5000
Be  0.2500  0.7500  0.5000
Be  0.5000  0.5000  0.0000
Cl  0.3750  0.4983  0.7500
Cl  0.5017  0.1250  0.2500
Cu  0.0000  0.0000  0.0000
Cl  0.8750  0.7517  0.7500
Cl  0.2483  0.6250  0.2500

Below is a relaxed structure of Pa2TeS3, with properties calculated at the GGA-PBE level.

Calculated values
- V (Å³ per atom) = 24.84
- energy relative to the elements, uncorrected (eV per atom) = -1.335

a b c (Å): 4.1081 9.2144 9.6421
angles (deg): 122.16 90.00 102.88
Fractional coordinates of all 12 atoms:
Te  0.8824  0.7649  0.8969
Pa  0.4987  0.9975  0.8033
Pa  0.5013  0.0025  0.1967
Pa  0.2031  0.4063  0.6608
S  0.6773  0.3546  0.4472
Pa  0.7969  0.5937  0.3392
S  0.3227  0.6454  0.5528
S  0.6548  0.3097  0.7896
S  0.9706  0.9412  0.6087
S  0.0294  0.0588  0.3913
Te  0.1176  0.2351  0.1031
S  0.3452  0.6903  0.2104

Below is a relaxed structure of BPRuS2, with properties calculated at the GGA-PBE level.

Calculated values
- ΔE to the lowest computed polymorph (meV per atom) = 0.0
- V (Å³ per atom) = 13.25
- energy relative to the elements, uncorrected (eV per atom) = 0.861

a b c (Å): 4.1081 4.1081 3.9268
angles (deg): 90.00 90.00 90.00
Fractional coordinates of all 5 atoms:
S  0.0000  0.5000  0.0000
B  0.0000  0.0000  0.0000
S  0.5000  0.0000  0.0000
Ru  0.5000  0.5000  0.5000
P  0.0000  0.0000  0.5000

Below is a relaxed structure of K2BiPtN, with properties calculated at the GGA-PBE level.

Calculated values
- V (Å³ per atom) = 29.68
- energy relative to the elements, uncorrected (eV per atom) = -0.060

a b c (Å): 6.3497 6.3497 3.6804
angles (deg): 90.00 90.00 90.00
Fractional coordinates of all 5 atoms:
Pt  0.0000  0.0000  0.5000
K  0.5000  0.0000  0.0000
N  0.0000  0.0000  0.0000
K  0.0000  0.5000  0.0000
Bi  0.5000  0.5000  0.5000

Below is a relaxed structure of LaCePa2P4, with properties calculated at the GGA-PBE level.

Calculated values
- V (Å³ per atom) = 23.80
- formation enthalpy at 0 K (eV/atom) = -1.416

a b c (Å): 4.0560 7.0757 7.0303
angles (deg): 70.66 90.00 90.00
Fractional coordinates of all 8 atoms:
Ce  0.0000  0.5000  0.5000
Pa  0.0000  0.0000  0.0000
P  0.0000  0.2312  0.2603
P  0.5000  0.7646  0.2490
P  0.0000  0.7688  0.7397
Pa  0.5000  0.0000  0.5000
La  0.5000  0.5000  0.0000
P  0.5000  0.2354  0.7510

Below is a relaxed structure of InSbCl, with properties calculated at the GGA-PBE level.

Calculated values
- ΔE to the lowest computed polymorph (meV per atom) = 0.0
- V (Å³ per atom) = 29.45
- energy relative to the elements, uncorrected (eV per atom) = -0.417

a b c (Å): 3.4742 11.5379 4.4378
angles (deg): 89.99 90.01 96.69
Fractional coordinates of all 6 atoms:
Cl  0.2437  0.5440  0.9837
In  0.7761  0.6299  0.4837
Cl  0.6695  0.3621  0.4835
In  0.1357  0.2759  0.9821
Sb  0.9877  0.0363  0.4835
Sb  0.9217  0.8696  0.9835

Below is a relaxed structure of Sm2Cu15Rh2, with properties calculated at the GGA-PBE level.

Calculated values
- V (Å³ per atom) = 14.24
- formation enthalpy at 0 K (eV/atom) = -0.147

a b c (Å): 6.5075 6.5075 6.5075
angles (deg): 83.43 83.43 83.43
Fractional coordinates of all 19 atoms:
Cu  0.6497  0.1530  0.6497
Cu  0.0000  0.5000  0.0000
Sm  0.3341  0.3341  0.3341
Cu  0.3503  0.3503  0.8470
Cu  0.8470  0.3503  0.3503
Cu  0.3503  0.8470  0.3503
Rh  0.8951  0.8951  0.8951
Cu  0.6497  0.6497  0.1530
Cu  0.1530  0.6497  0.6497
Sm  0.6659  0.6659  0.6659
Cu  0.2914  0.0000  0.7086
Cu  0.7086  0.0000  0.2914
Cu  0.0000  0.7086  0.2914
Cu  0.0000  0.0000  0.5000
Cu  0.5000  0.0000  0.0000
Rh  0.1049  0.1049  0.1049
Cu  0.0000  0.2914  0.7086
Cu  0.7086  0.2914  0.0000
Cu  0.2914  0.7086  0.0000

Below is a relaxed structure of Tm3BiPb, with properties calculated at the GGA-PBE level.

Calculated values
- V (Å³ per atom) = 29.31
- formation enthalpy at 0 K (eV/atom) = -0.462

a b c (Å): 4.9268 6.4736 10.0500
angles (deg): 108.76 104.21 89.96
Fractional coordinates of all 10 atoms:
Bi  0.3020  0.8019  0.6045
Tm  0.3093  0.3092  0.6191
Pb  0.0883  0.5876  0.1761
Tm  0.5002  0.7448  0.0001
Tm  0.4998  0.2552  0.9999
Bi  0.6980  0.1981  0.3955
Tm  0.6907  0.6908  0.3809
Tm  0.0979  0.0971  0.1951
Tm  0.9021  0.9029  0.8049
Pb  0.9117  0.4124  0.8239

Below is a relaxed structure of Cs2TiPbI6, with properties calculated at the GGA-PBE level.

Calculated values
- V (Å³ per atom) = 45.56
- energy relative to the elements, uncorrected (eV per atom) = -0.959

a b c (Å): 8.6371 8.6371 8.6372
angles (deg): 60.00 60.00 90.00
Fractional coordinates of all 10 atoms:
Pb  0.0000  0.0000  0.0000
I  0.2626  0.7374  0.0000
I  0.7374  0.2626  0.0000
I  0.2625  0.2625  0.4750
Cs  0.7500  0.2500  0.5000
I  0.7375  0.7375  0.5250
Ti  0.5000  0.5000  0.0000
I  0.7374  0.7374  0.0000
Cs  0.2500  0.7500  0.5000
I  0.2626  0.2626  0.0000

Below is a relaxed structure of HoCdInPt, with properties calculated at the GGA-PBE level.

Calculated values
- V (Å³ per atom) = 20.95
- formation enthalpy at 0 K (eV/atom) = -0.607

a b c (Å): 4.9118 4.9118 4.9118
angles (deg): 60.00 60.00 60.00
Fractional coordinates of all 4 atoms:
In  0.5000  0.5000  0.5000
Ho  0.0000  0.0000  0.0000
Cd  0.2500  0.2500  0.2500
Pt  0.7500  0.7500  0.7500

Below is a relaxed structure of Ba2SnHPd6, with properties calculated at the GGA-PBE level.

Calculated values
- V (Å³ per atom) = 20.22
- E_tot (eV/atom) = -4.727

a b c (Å): 6.1037 7.1678 6.1090
angles (deg): 65.03 60.03 90.00
Fractional coordinates of all 10 atoms:
Ba  0.2279  0.6821  0.5441
Ba  0.7721  0.3179  0.4559
Pd  0.2244  0.1730  0.5513
Pd  0.7756  0.8270  0.4487
H  0.0000  0.0000  0.0000
Sn  0.5000  0.5000  0.0000
Pd  0.7771  0.8276  0.9475
Pd  0.2755  0.8276  0.9474
Pd  0.2229  0.1724  0.0525
Pd  0.7245  0.1724  0.0526

Below is a relaxed structure of RbReAs2, with properties calculated at the GGA-PBE level.

Calculated values
- ΔE to the lowest computed polymorph (meV per atom) = 235.5
- V (Å³ per atom) = 25.06
- formation enthalpy at 0 K (eV/atom) = 0.249

a b c (Å): 3.4149 3.4149 10.1201
angles (deg): 80.29 80.29 60.00
Fractional coordinates of all 4 atoms:
Rb  0.0000  0.0000  0.0000
Re  0.5000  0.5000  0.5000
As  0.8882  0.8882  0.3354
As  0.1118  0.1118  0.6646

Below is a relaxed structure of NaLi2MgF, with properties calculated at the GGA-PBE level.

Calculated values
- V (Å³ per atom) = 26.05
- energy relative to the elements, uncorrected (eV per atom) = -0.514

a b c (Å): 5.7635 3.9211 5.7635
angles (deg): 90.00 90.00 90.00
Fractional coordinates of all 5 atoms:
Na  0.0000  0.0000  0.0000
Li  0.0000  0.0000  0.5000
Li  0.5000  0.0000  0.0000
F  0.0000  0.5000  0.0000
Mg  0.5000  0.5000  0.5000